Record 1
# Ho6Cd2Ni

Crystalline Ho6Cd2Ni at its relaxed geometry (PBE, Alexandria).

Lattice parameters (Å, degrees): 12.044 7.133 7.208 90.00 125.70 90.00
Space group C2/m (No. 12)
Unique sites:
Ho  0.043  0.247  0.296
Ho  0.244  0.000  0.822
Cd  0.244  0.500  0.743
Ni  0.000  0.500  0.000

Calculated values
As for the energy relative to the elements: -151 meV/atom. For the spin magnetization, the calculation gives 0.0 μB/cell. Its total DFT energy (no corrections) is -4.0486 eV per atom.



Record 2
# HoCdNi

Crystalline HoCdNi at its relaxed geometry (PBE, Alexandria).

Lattice parameters (Å, degrees): 6.428 6.428 6.428 90.00 90.00 90.00
Space group F-43m (No. 216)
Unique sites:
Ho  0.000  0.000  0.000
Cd  0.000  0.000  0.500
Ni  0.250  0.250  0.250

Calculated values
As for the energy relative to the elements: -231 meV/atom. For the spin magnetization, the calculation gives 0.0 μB/cell. Its total DFT energy (no corrections) is -3.9889 eV per atom.



Record 3
# Ho5CdNi2

Crystalline Ho5CdNi2 at its relaxed geometry (PBE, Alexandria).

Lattice parameters (Å, degrees): 7.677 7.677 13.159 90.00 90.00 90.00
Space group I4/mcm (No. 140)
Unique sites:
Ho  0.000  0.000  0.000
Ho  0.160  0.340  0.134
Cd  0.000  0.000  0.250
Ni  0.127  0.373  0.500

Calculated values
As for the energy relative to the elements: -313 meV/atom. For the spin magnetization, the calculation gives 0.0 μB/cell. Its total DFT energy (no corrections) is -4.7338 eV per atom.



Record 4
# HoCdNiPd

Crystalline HoCdNiPd at its relaxed geometry (PBE, Alexandria).

Lattice parameters (Å, degrees): 6.642 6.642 6.642 90.00 90.00 90.00
Space group F-43m (No. 216)
Unique sites:
Ho  0.000  0.000  0.000
Cd  0.000  0.000  0.500
Ni  0.250  0.250  0.750
Pd  0.250  0.250  0.250

Calculated values
As for the energy relative to the elements: -484 meV/atom. For the spin magnetization, the calculation gives 0.0 μB/cell. Its total DFT energy (no corrections) is -4.6004 eV per atom.



Record 5
# PrHoCdNi

Crystalline PrHoCdNi at its relaxed geometry (PBE, Alexandria).

Lattice parameters (Å, degrees): 7.286 7.286 7.286 90.00 90.00 90.00
Space group F-43m (No. 216)
Unique sites:
Pr  0.000  0.000  0.000
Ho  0.000  0.000  0.500
Cd  0.250  0.250  0.250
Ni  0.250  0.250  0.750

Calculated values
As for the energy relative to the elements: -204 meV/atom. For the spin magnetization, the calculation gives 0.0 μB/cell. Its total DFT energy (no corrections) is -4.2173 eV per atom.



Record 6
# HoCdNiPt

Crystalline HoCdNiPt at its relaxed geometry (PBE, Alexandria).

Lattice parameters (Å, degrees): 6.649 6.649 6.649 90.00 90.00 90.00
Space group F-43m (No. 216)
Unique sites:
Ho  0.000  0.000  0.000
Cd  0.000  0.000  0.500
Ni  0.250  0.250  0.250
Pt  0.250  0.250  0.750

Calculated values
As for the energy relative to the elements: -567 meV/atom. For the spin magnetization, the calculation gives 0.0 μB/cell. Its total DFT energy (no corrections) is -4.8961 eV per atom.